[1]
Entry from Alexandria via LeMat-Bulk: Cs2TaNiF at its PBEsol-relaxed geometry (meta-GGA SCAN).

## Properties
As for the formation energy (no corrections): 41.01 kJ per mole of atoms. The calculation puts the total energy at -159.79 eV per cell.

Unit cell a=6.277 b=6.277 c=4.591 alpha=90.00 beta=90.00 gamma=90.00
Positions (direct):
Cs1 0.000 0.500 0.000
Cs2 0.500 0.000 0.000
Ta1 0.000 0.000 0.500
Ni1 0.000 0.000 0.000
F1 0.500 0.500 0.500

***

[2]
Entry from Alexandria via LeMat-Bulk: MnCrFe2 at its PBEsol-relaxed geometry (meta-GGA SCAN).

## Properties
Its energy of formation from the pure elements is 0.23 eV/f.u. The calculation puts the total energy at -145.33 eV per cell.

Unit cell a=2.792 b=3.910 c=7.890 alpha=90.00 beta=90.00 gamma=90.00
Positions (direct):
Mn1 0.000 0.000 0.000
Mn2 0.500 0.500 0.000
Cr1 0.000 0.500 0.246
Cr2 0.500 0.000 0.246
Fe1 0.000 0.000 0.497
Fe2 0.000 0.500 0.748
Fe3 0.500 0.000 0.748
Fe4 0.500 0.500 0.497

***

[3]
Entry from Alexandria via LeMat-Bulk: InNiPt2 at its PBEsol-relaxed geometry (meta-GGA SCAN).

## Properties
Its energy of formation from the pure elements is -0.95 eV/f.u. The calculation puts the total energy at -381.79 eV per cell.

Unit cell a=3.956 b=3.956 c=7.655 alpha=90.00 beta=90.00 gamma=90.00
Positions (direct):
In1 0.000 0.000 0.000
In2 0.500 0.500 0.500
Ni1 0.000 0.500 0.750
Ni2 0.500 0.000 0.250
Pt1 0.000 0.000 0.500
Pt2 0.000 0.500 0.250
Pt3 0.500 0.000 0.750
Pt4 0.500 0.500 0.000